# 1
The following is a PBE calculation of Cs2Sn5Bi2Sb2 after structural relaxation, from Alexandria.

Structure (POSCAR):
```
Cs2Sn5Bi2Sb2
1.0
-2.7284 2.7284 17.7183
2.7284 -2.7284 17.7183
2.7284 2.7284 -17.7183
Cs Sn Bi Sb
2 5 2 2
Cartesian
0.0000 0.0000 7.4106
0.0000 0.0000 28.0260
0.0000 0.0000 0.0000
2.7284 0.0000 4.3798
2.7284 0.0000 13.3385
0.0000 2.7284 4.3798
0.0000 2.7284 13.3385
0.0000 0.0000 11.6715
0.0000 0.0000 23.7651
0.0000 0.0000 3.0087
0.0000 0.0000 32.4278
```

DOS at the Fermi energy: 4.516 states/eV per cell
Symmetry: I4/mmm, No. 139
Formation energy without anion corrections: 0.07 eV/atom

# 2
The following is a PBE calculation of Sc2CdGaAg after structural relaxation, from Alexandria.

Structure (POSCAR):
```
Sc2CdGaAg
1.0
5.1206 0.0000 0.0000
0.0000 5.1206 0.0000
0.0000 0.0000 4.8735
Sc Cd Ga Ag
2 1 1 1
Cartesian
0.0000 2.5603 0.0000
2.5603 0.0000 0.0000
0.0000 0.0000 2.4368
0.0000 0.0000 0.0000
2.5603 2.5603 2.4368
```

DFT formation energy: 0.24 eV/atom
DOS at the Fermi energy: 6.164 states/eV per cell
Symmetry: P4/mmm, No. 123

# 3
The following is a PBE calculation of Li4Np3SiN8 after structural relaxation, from Alexandria.

Structure (POSCAR):
```
Li4Np3SiN8
1.0
5.7715 -3.1487 0.0000
5.7715 3.1487 0.0000
-2.9523 0.0000 5.3964
Li Np Si N
4 3 1 8
Cartesian
0.0000 0.0000 0.0000
1.4096 1.5743 2.6982
1.4096 -1.5743 2.6982
5.7715 0.0000 0.0000
-1.4761 0.0000 2.6982
2.8857 1.5743 0.0000
2.8857 -1.5743 0.0000
4.2954 0.0000 2.6982
1.9035 0.0000 1.0392
0.4236 0.0000 3.9574
4.6708 1.3419 1.4514
3.9199 1.3419 3.9450
4.6708 -1.3419 1.4514
3.9199 -1.3419 3.9450
8.1671 0.0000 1.4390
6.6872 0.0000 4.3571
```

DOS at the Fermi energy: 11.413 states/eV per cell
Symmetry: C2/m, No. 12
Formation energy without anion corrections: -0.72 eV/atom

# 4
The following is a PBE calculation of CaB2Pd after structural relaxation, from Alexandria.

Structure (POSCAR):
```
CaB2Pd
1.0
-1.9946 1.9946 7.5668
1.9946 -1.9946 7.5668
1.9946 1.9946 -7.5668
Ca B Pd
2 4 2
Cartesian
1.9946 0.9973 1.8917
0.0000 0.9973 5.6751
0.0000 0.0000 0.0000
0.9973 0.9973 -3.7834
0.9973 -0.9973 3.7834
0.0000 1.9946 0.0000
1.9946 -0.9973 5.6751
0.0000 2.9919 1.8917
```

DFT formation energy: 0.05 eV/atom
DOS at the Fermi energy: 0.117 states/eV per cell
Symmetry: I4_1/amd, No. 141

# 5
The following is a PBE calculation of Tb2PmPr after structural relaxation, from Alexandria.

Structure (POSCAR):
```
Tb2PmPr
1.0
1.8199 1.0507 11.7325
-1.8199 1.0507 11.7325
0.0000 -2.1015 11.7325
Tb Pm Pr
2 1 1
Cartesian
0.0000 0.0000 0.0000
0.0000 0.0000 5.8455
0.0000 0.0000 14.6741
0.0000 0.0000 20.5257
```

DFT formation energy: 0.01 eV/atom
DOS at the Fermi energy: 5.801 states/eV per cell
Symmetry: R3m, No. 160

# 6
The following is a PBE calculation of CeH2I3 after structural relaxation, from Alexandria.

Structure (POSCAR):
```
CeH2I3
1.0
7.8590 0.0000 0.0000
-0.5872 8.0558 0.0000
-0.3377 -2.5573 7.8369
Ce H I
2 4 6
Cartesian
0.0000 0.0000 0.0000
-0.2936 4.0279 0.0000
3.0115 1.2659 3.8153
3.0682 0.8482 4.4378
3.8659 4.6503 3.3991
3.9226 4.2326 4.0216
0.5073 3.5806 5.7817
0.6973 6.1278 2.1441
2.2787 2.1874 0.0881
4.6554 3.3111 7.7488
6.2367 -0.6293 5.6928
6.4268 1.9179 2.0552
```

DFT total energy: -3.78 eV per atom
DOS at the Fermi energy: 12.041 states/eV per cell
Symmetry: P-1, No. 2

| no. | total moment (μB/cell) |
| --- | --- |
| 1 | 0.00 |
| 2 | 0.00 |
| 3 | 5.00 |
| 4 | 0.00 |
| 5 | 0.00 |
| 6 | 2.00 |